(1)
# Pr2NdTl3AgPd2 PBE optimized geometry
data_Pr2NdTl3AgPd2
_cell_length_a 4.0175
_cell_length_b 13.8138
_cell_length_c 7.9794
_cell_angle_alpha 90.00
_cell_angle_beta 90.00
_cell_angle_gamma 90.00
_symmetry_space_group_name_H-M 'A m m 2'
_symmetry_Int_Tables_number 38
loop_
_symmetry_equiv_pos_as_xyz
'x,y,z'
'-x,-y,z'
'-x,y,z'
'x,-y,z'
'x,y+1/2,z+1/2'
'-x,-y+1/2,z+1/2'
'-x,y+1/2,z+1/2'
'x,-y+1/2,z+1/2'
loop_
_atom_site_label
_atom_site_type_symbol
_atom_site_fract_x
_atom_site_fract_y
_atom_site_fract_z
Pr1 Pr 0.0000 0.2058 0.0000
Nd1 Nd 0.0000 0.0000 0.3825
Tl1 Tl 0.5000 0.0000 0.0602
Tl2 Tl 0.5000 0.1324 0.6611
Ag1 Ag 0.0000 0.0000 0.7938
Pd1 Pd 0.5000 0.1660 0.2945
# - total DFT energy (no corrections) (eV per cell) = -79.04

***

(2)
# LiMg2Zn PBE optimized geometry
data_LiMg2Zn
_cell_length_a 4.5437
_cell_length_b 4.5437
_cell_length_c 3.5404
_cell_angle_alpha 90.00
_cell_angle_beta 90.00
_cell_angle_gamma 90.00
_symmetry_space_group_name_H-M 'P 4/m m m'
_symmetry_Int_Tables_number 123
_symmetry_space_group_name_Hall '-P 4 2'
loop_
_atom_site_label
_atom_site_type_symbol
_atom_site_fract_x
_atom_site_fract_y
_atom_site_fract_z
Li1 Li 0.0000 0.0000 0.0000
Mg1 Mg 0.0000 0.5000 0.5000
Zn1 Zn 0.5000 0.5000 0.0000
# - total DFT energy (no corrections) (eV per cell) = -6.67